First-principles (PBE with a Hubbard U) data for Pu2MoO8 after structural relaxation, as listed in Alexandria via LeMat-Bulk.

```
Pu2MoO8
1.0
5.517 -1.908 0.000
5.517 1.908 0.000
-1.252 0.000 6.552
Pu Mo O
2 1 8
direct
0.244 0.244 0.239
0.756 0.756 0.761
0.000 0.000 0.500
0.067 0.067 0.219
0.195 0.195 0.567
0.296 0.296 0.931
0.431 0.431 0.337
0.569 0.569 0.663
0.704 0.704 0.069
0.805 0.805 0.433
0.933 0.933 0.781
```

spin magnetization = 6.0 Bohr magnetons per cell
space-group type = C2/m (12)
mass density = 8.57 g/cm3
DFT total energy = -98.5 eV/cell